1.
This record from Alexandria via LeMat-Bulk describes crystalline Be4GePd at its relaxed geometry. The functional is PBE.

```
Be4GePd
1.0
-0.957 -1.151 -4.214
-0.714 -4.291 -1.038
-4.117 -1.390 -1.058
Be Pd Ge
4 1 1
Direct
0.122 0.626 0.626
0.626 0.626 0.122
0.626 0.626 0.626
0.626 0.122 0.626
0.000 0.000 0.000
0.250 0.250 0.250
```

Calculated values
As for the volume: 10.54 Å³/atom.


2.
This record from Alexandria via LeMat-Bulk describes crystalline YBeMo2 at its relaxed geometry. The functional is PBE.

```
YBeMo2
1.0
-2.688 0.144 3.707
-1.531 -3.891 1.872
1.617 -1.381 4.058
Be Mo Y
1 2 1
Direct
0.500 0.500 0.500
0.000 0.000 0.000
0.250 0.250 0.250
0.750 0.750 0.750
```

Calculated values
As for the volume: 17.00 Å³/atom.


3.
This record from Alexandria via LeMat-Bulk describes crystalline Ta2Nb2Pd at its relaxed geometry. The functional is PBE.

```
Ta2Nb2Pd
1.0
-0.836 3.215 -0.023
-2.704 -0.691 1.803
5.966 -0.124 5.839
Pd Nb Ta
1 2 2
Direct
0.000 0.000 0.000
0.200 0.200 0.399
0.800 0.800 0.601
0.401 0.401 0.802
0.599 0.599 0.198
```

Calculated values
As for the volume: 17.69 Å³/atom.


4.
This record from Alexandria via LeMat-Bulk describes crystalline Mn2CrPt at its relaxed geometry. The functional is PBE.

```
Mn2CrPt
1.0
-1.005 2.861 -8.037
0.190 0.610 -8.566
-2.390 0.665 -8.224
Mn Pt Cr
2 1 1
Direct
0.257 0.257 0.257
0.998 0.998 0.998
0.500 0.500 0.500
0.746 0.746 0.746
```

Calculated values
As for the volume: 12.40 Å³/atom.


5.
This record from Alexandria via LeMat-Bulk describes crystalline Cs2SiH6 at its relaxed geometry. The functional is PBE.

```
Cs2SiH6
1.0
-1.697 -1.900 -4.128
0.469 -5.332 2.258
-4.462 -2.326 2.902
Cs H Si
2 6 1
Direct
0.725 0.667 0.667
0.275 0.333 0.333
0.811 0.132 0.735
0.189 0.867 0.867
0.811 0.133 0.133
0.189 0.265 0.868
0.811 0.735 0.132
0.189 0.868 0.265
0.000 0.000 0.000
```

Calculated values
As for the volume: 15.75 Å³/atom.


6.
This record from Alexandria via LeMat-Bulk describes crystalline TcIr5Rh2 at its relaxed geometry. The functional is PBE.

```
TcIr5Rh2
1.0
6.627 0.000 0.000
0.000 6.627 0.000
-3.313 -3.313 5.514
Ir Rh Tc
10 4 2
Direct
0.317 0.817 0.340
0.500 0.500 0.000
0.683 0.183 0.660
0.477 0.683 0.660
0.023 0.523 0.340
0.523 0.317 0.340
0.000 0.000 0.000
0.183 0.977 0.660
0.817 0.023 0.340
0.977 0.477 0.660
0.639 0.139 0.000
0.361 0.861 0.000
0.861 0.639 0.000
0.139 0.361 0.000
0.250 0.250 0.500
0.750 0.750 0.500
```

Calculated values
For the relative energy among the computed polymorphs, the calculation gives 359 meV per atom. As for the volume: 15.13 Å³/atom.


7.
This record from Alexandria via LeMat-Bulk describes crystalline PmSm2Ho3Tm6 at its relaxed geometry. The functional is PBE.

```
PmSm2Ho3Tm6
1.0
6.124 0.002 0.006
-3.059 5.305 0.006
-1.029 -1.783 11.477
Sm Ho Tm Pm
2 3 6 1
Direct
0.667 0.333 0.000
0.333 0.667 0.000
0.500 0.500 0.500
0.167 0.833 0.500
0.833 0.167 0.500
0.085 0.419 0.253
0.915 0.581 0.747
0.581 0.915 0.747
0.752 0.752 0.253
0.419 0.085 0.253
0.248 0.248 0.747
0.000 0.000 0.000
```

Calculated values
As for the volume: 31.09 Å³/atom.


8.
This record from Alexandria via LeMat-Bulk describes crystalline Pu2Co15Tc2 at its relaxed geometry. The functional is PBE.

```
Pu2Co15Tc2
1.0
-1.503 -4.229 -4.419
5.727 -2.535 -0.667
-0.845 -4.915 3.847
Co Pu Tc
15 2 2
Direct
0.348 0.348 0.846
0.154 0.652 0.652
0.846 0.348 0.348
0.300 0.000 0.700
0.652 0.154 0.652
0.000 0.500 0.000
0.700 0.000 0.300
0.348 0.846 0.348
0.000 0.000 0.500
0.652 0.652 0.154
0.500 0.000 0.000
0.000 0.300 0.700
0.300 0.700 0.000
0.700 0.300 0.000
0.000 0.700 0.300
0.654 0.654 0.654
0.346 0.346 0.346
0.096 0.096 0.096
0.904 0.904 0.904
```

Calculated values
As for the volume: 12.85 Å³/atom.


9.
This record from Alexandria via LeMat-Bulk describes crystalline NaSrPuO4 at its relaxed geometry. The functional is PBE.

```
NaSrPuO4
1.0
4.337 0.000 0.000
0.000 4.337 0.000
-2.169 -2.169 6.180
O Pu Na Sr
4 1 1 1
Direct
0.838 0.838 0.676
0.166 0.166 0.332
0.492 0.992 0.983
0.992 0.492 0.983
0.003 0.003 0.007
0.652 0.652 0.304
0.358 0.358 0.716
```

Calculated values
The value obtained for the uncorrected formation energy is -2583 meV/atom. As for the volume: 16.61 Å³/atom.


10.
This record from Alexandria via LeMat-Bulk describes crystalline Th3GePd12 at its relaxed geometry. The functional is PBE.

```
Th3GePd12
1.0
4.186 0.000 0.000
0.000 4.186 0.000
0.000 0.000 16.344
Pd Ge Th
12 1 3
Direct
0.500 0.000 0.371
0.500 0.500 0.242
0.500 0.000 0.629
0.500 0.500 0.758
0.000 0.500 0.371
0.000 0.500 0.113
0.500 0.500 0.000
0.500 0.000 0.887
0.000 0.500 0.887
0.000 0.500 0.629
0.500 0.500 0.500
0.500 0.000 0.113
0.000 0.000 0.000
0.000 0.000 0.500
0.000 0.000 0.238
0.000 0.000 0.762
```

Calculated values
As for the volume: 17.90 Å³/atom.


Number 1: energy -4.2279 eV per atom. Number 2: energy -7.6180 eV per atom. Number 3: energy -9.9189 eV per atom. Number 4: energy -8.4025 eV per atom. Number 5: energy -3.2211 eV per atom. Number 6: energy -8.4062 eV per atom. Number 7: energy -4.5401 eV per atom. Number 8: energy -8.2514 eV per atom. Number 9: energy -7.8920 eV per atom. Number 10: energy -6.3630 eV per atom.